# 1
# MoPt2W (PBE, optimized geometry)
data_MoPt2W
_cell_length_a 3.8731
_cell_length_b 3.8731
_cell_length_c 4.1429
_cell_angle_alpha 90.00
_cell_angle_beta 90.00
_cell_angle_gamma 90.00
_symmetry_space_group_name_H-M 'P 4/m m m'
_symmetry_Int_Tables_number 123
_symmetry_space_group_name_Hall '-P 4 2'
loop_
_atom_site_label
_atom_site_type_symbol
_atom_site_fract_x
_atom_site_fract_y
_atom_site_fract_z
Mo1 Mo 0.0000 0.0000 0.0000
Pt1 Pt 0.0000 0.5000 0.5000
W1 W 0.5000 0.5000 0.0000
# total magnetization	0.00	μB/f.u.
# calculated formation energy	-0.2234	eV per atom
# density	17.90	g/cm3
# energy above the lowest structure with this stoichiometry	75	meV/atom
# Fermi-level density of states	4.9	states/eV/cell

# 2
# Ce2Sc2In3 (PBE, optimized geometry)
data_Ce2Sc2In3
_cell_length_a 4.7547
_cell_length_b 23.4237
_cell_length_c 3.1818
_cell_angle_alpha 90.00
_cell_angle_beta 90.00
_cell_angle_gamma 90.00
_symmetry_space_group_name_H-M 'C m m m'
_symmetry_Int_Tables_number 65
_symmetry_space_group_name_Hall '-C 2 2'
loop_
_atom_site_label
_atom_site_type_symbol
_atom_site_fract_x
_atom_site_fract_y
_atom_site_fract_z
Ce1 Ce 0.0000 0.0763 0.0000
Sc1 Sc 0.0000 0.2094 0.0000
In1 In 0.0000 0.3382 0.5000
In2 In 0.0000 0.5000 0.5000
# total magnetization	2.21	μB/f.u.
# calculated formation energy	-0.2904	eV per atom
# density	6.70	g/cm3
# Fermi-level density of states	28.5	states/eV/cell

# 3
# KYNO2 (PBE, optimized geometry)
data_KYNO2
_cell_length_a 4.4681
_cell_length_b 4.4681
_cell_length_c 4.8037
_cell_angle_alpha 90.00
_cell_angle_beta 90.00
_cell_angle_gamma 90.00
_symmetry_space_group_name_H-M 'P 4/m m m'
_symmetry_Int_Tables_number 123
_symmetry_space_group_name_Hall '-P 4 2'
loop_
_atom_site_label
_atom_site_type_symbol
_atom_site_fract_x
_atom_site_fract_y
_atom_site_fract_z
K1 K 0.0000 0.0000 0.0000
Y1 Y 0.5000 0.5000 0.5000
N1 N 0.5000 0.5000 0.0000
O1 O 0.0000 0.5000 0.5000
# formation energy (no corrections)	-1031	meV per atom
# total magnetization	3.00	μB/f.u.
# density	3.01	g/cm3
# Fermi-level density of states	3.0	states/eV/cell

# 4
# YC4 (PBE, optimized geometry)
data_YC4
_cell_length_a 5.3671
_cell_length_b 5.3671
_cell_length_c 4.6785
_cell_angle_alpha 90.00
_cell_angle_beta 90.00
_cell_angle_gamma 90.00
_symmetry_space_group_name_H-M 'I 4/m'
_symmetry_Int_Tables_number 87
_symmetry_space_group_name_Hall '-I 4'
loop_
_atom_site_label
_atom_site_type_symbol
_atom_site_fract_x
_atom_site_fract_y
_atom_site_fract_z
Y1 Y 0.0000 0.0000 0.0000
C1 C 0.0481 0.3896 0.5000
# total magnetization	0.00	μB/f.u.
# calculated formation energy	1.3255	eV per atom
# density	3.37	g/cm3
# energy above the lowest structure with this stoichiometry	576	meV/atom
# Fermi-level density of states	2.8	states/eV/cell